P.
The following is a DFT calculation (PBEsol) of crystalline SrTcPt at its relaxed geometry.

Symmetry ... F-43m, No. 216
DOS(E_F) ... 1.69 states/eV/atom
Size of the total moment ... 0.0 Bohr magnetons per cell
Crystal system ... cubic

abc: 4.4875 4.4875 4.4875
angles: 60.00 60.00 60.00
With the nearest neighbours (Å) after each atom.
Sites, in units of the cell vectors:
Pt  0.0000  0.0000  0.0000  4 Tc 2.75
Tc  0.7500  0.7500  0.7500  4 Sr 2.75, 4 Pt 2.75
Sr  0.5000  0.5000  0.5000  4 Tc 2.75

=====

Q.
The following is a DFT calculation (PBEsol) of crystalline SrTcPt at its relaxed geometry.

Symmetry ... P3m1, No. 156
DOS(E_F) ... 1.79 states/eV/atom
Size of the total moment ... 0.0 Bohr magnetons per cell
Crystal system ... trigonal

abc: 2.9455 2.9455 7.4129
angles: 90.00 90.00 120.00
With the nearest neighbours (Å) after each atom.
Sites, in units of the cell vectors:
Pt  0.0000  0.0000  0.0279  3 Tc 2.66, 6 Pt 2.95
Sr  0.3333  0.6667  0.6683  6 Sr 2.95, 3 Pt 3.16, 3 Tc 3.19
Tc  0.6667  0.3333  0.3038  3 Pt 2.66, 6 Tc 2.95

=====

Stability verdict: Q, ahead by 56 meV per atom

=====

P.
The following is a DFT calculation (PBEsol) of crystalline SrTc2Pt at its relaxed geometry.

Symmetry ... P4/mmm, No. 123
DOS(E_F) ... 1.06 states/eV/atom
Size of the total moment ... 0.0 Bohr magnetons per cell
Crystal system ... tetragonal

abc: 3.8568 3.8568 4.7653
angles: 90.00 90.00 90.00
With the nearest neighbours (Å) after each atom.
Sites, in units of the cell vectors:
Sr  0.0000  0.0000  0.5000  4 Pt 2.73
Tc  0.5000  0.0000  0.0000  4 Tc 2.73
Tc  0.0000  0.5000  0.0000  4 Tc 2.73
Pt  0.5000  0.5000  0.5000  4 Sr 2.73

=====

Q.
The following is a DFT calculation (PBEsol) of crystalline SrTc2Pt at its relaxed geometry.

Symmetry ... P2/m, No. 10
DOS(E_F) ... 0.93 states/eV/atom
Size of the total moment ... 0.0 Bohr magnetons per cell
Crystal system ... monoclinic

abc: 2.7241 5.1164 5.0544
angles: 90.00 90.00 92.93
With the nearest neighbours (Å) after each atom.
Sites, in units of the cell vectors:
Tc  0.8846  0.7358  0.0000  4 Tc 2.52-2.74, 2 Pt 2.82
Tc  0.1154  0.2642  0.0000  4 Tc 2.52-2.74, 2 Pt 2.82
Sr  0.5000  0.0000  0.5000  2 Sr 2.72, 4 Pt 2.84-2.96
Pt  0.0000  0.5000  0.5000  2 Pt 2.72, 4 Tc 2.82, 4 Sr 2.84-2.96

=====

Stability verdict: Q, ahead by 97 meV per atom

=====

P.
The following is a DFT calculation (PBEsol) of crystalline SrTc2Pt at its relaxed geometry.

Symmetry ... I4/mmm, No. 139
DOS(E_F) ... 1.37 states/eV/atom
Size of the total moment ... 0.0 Bohr magnetons per cell
Crystal system ... tetragonal

abc: 3.9524 3.9524 5.2810
angles: 111.98 111.98 90.00
With the nearest neighbours (Å) after each atom.
Sites, in units of the cell vectors:
Sr  0.0000  0.0000  0.0000  4 Pt 2.79, 8 Tc 2.99
Pt  0.5000  0.5000  0.0000  4 Sr 2.79, 8 Tc 2.99
Tc  0.7500  0.2500  0.5000  4 Tc 2.79, 4 Pt 2.99, 4 Sr 2.99
Tc  0.2500  0.7500  0.5000  4 Tc 2.79, 4 Pt 2.99, 4 Sr 2.99

=====

Q.
The following is a DFT calculation (PBEsol) of crystalline SrTc2Pt at its relaxed geometry.

Symmetry ... Immm, No. 71
DOS(E_F) ... 0.85 states/eV/atom
Size of the total moment ... 0.0 Bohr magnetons per cell
Crystal system ... orthorhombic

abc: 2.7754 4.8008 6.0508
angles: 113.37 103.26 90.00
With the nearest neighbours (Å) after each atom.
Sites, in units of the cell vectors:
Pt  0.5000  0.0000  0.0000  4 Tc 2.72, 4 Sr 2.77, 2 Pt 2.78
Sr  0.0000  0.5000  0.0000  4 Pt 2.77, 2 Sr 2.78
Tc  0.2170  0.2170  0.4340  2 Pt 2.72, 6 Tc 2.78-2.86
Tc  0.7830  0.7830  0.5660  2 Pt 2.72, 6 Tc 2.78-2.86

=====

R.
The following is a DFT calculation (PBEsol) of crystalline SrTc2Pt at its relaxed geometry.

Symmetry ... Fm-3m, No. 225
DOS(E_F) ... 1.98 states/eV/atom
Size of the total moment ... 0.0 Bohr magnetons per cell
Crystal system ... cubic

abc: 4.5667 4.5667 4.5667
angles: 60.00 60.00 60.00
With the nearest neighbours (Å) after each atom.
Sites, in units of the cell vectors:
Pt  0.0000  0.0000  0.0000  8 Tc 2.80
Tc  0.2500  0.2500  0.2500  4 Pt 2.80, 4 Sr 2.80
Tc  0.7500  0.7500  0.7500  4 Pt 2.80, 4 Sr 2.80
Sr  0.5000  0.5000  0.5000  8 Tc 2.80

=====

Stability verdict: Q, ahead by 334 meV per atom